Entry 1:
5
Lattice="4.569 0.000 0.000 0.000 4.569 0.000 0.000 0.000 5.241" Properties=species:S:1:pos:R:3 comment="HfScMo2S (PBE, relaxed)" total_energy_ev_per_atom=-6.6104 raw_formation_energy_mev_per_atom=1805 pbc="T T T"
Hf 0.000 0.000 0.000
Sc 0.000 0.000 2.621
Mo 0.000 2.285 2.621
Mo 2.285 0.000 2.621
S 2.285 2.285 0.000



Entry 2:
5
Lattice="4.565 0.000 0.000 0.000 4.565 0.000 0.000 0.000 5.043" Properties=species:S:1:pos:R:3 comment="HfTaMoS2 (PBE, relaxed)" total_energy_ev_per_atom=-7.5047 raw_formation_energy_mev_per_atom=674 pbc="T T T"
Hf 0.000 0.000 0.000
Ta 2.282 2.282 0.000
Mo 2.282 2.282 2.521
S 0.000 2.282 2.521
S 2.282 0.000 2.521